# 1
! HgPt2Rh2 GGA-PBE relaxed; values from VASP
! **Calculated total energy**: -5.14 eV per atom
! **Energy above the most stable polymorph in this dataset**: 0.400 eV per formula unit
! **ΔE_f**: 0.277 eV/atom
! **Space-group type**: I4/mmm
! **Spin magnetization**: 0.000 Bohr magnetons per cell
&SYSTEM
  ibrav = 0, nat = 5, ntyp = 3
/
ATOMIC_SPECIES
Rh 102.91 Rh.upf
Hg 200.59 Hg.upf
Pt 195.08 Pt.upf
CELL_PARAMETERS angstrom
3.746 0.000 0.000
0.000 3.746 0.000
1.873 1.873 6.306
ATOMIC_POSITIONS angstrom
Rh 1.873 1.873 1.247
Rh 3.746 3.746 5.060
Hg 0.000 0.000 0.000
Pt 3.746 1.873 3.153
Pt 1.873 3.746 3.153

***

# 2
! HgPtRh2 GGA-PBE relaxed; values from VASP
! **Calculated total energy**: -5.09 eV per atom
! **ΔE_f**: 0.173 eV/atom
! **Space-group type**: R-3m
! **Spin magnetization**: 0.000 Bohr magnetons per cell
&SYSTEM
  ibrav = 0, nat = 4, ntyp = 3
/
ATOMIC_SPECIES
Hg 200.59 Hg.upf
Pt 195.08 Pt.upf
Rh 102.91 Rh.upf
CELL_PARAMETERS angstrom
-3.559 2.890 -7.978
-4.870 0.346 -7.799
-5.986 2.630 -6.474
ATOMIC_POSITIONS angstrom
Hg -7.207 2.933 -11.125
Pt 0.000 0.000 0.000
Rh -10.753 4.376 -16.599
Rh -3.661 1.490 -5.652

***

# 3
! HgPtRh4 GGA-PBE relaxed; values from VASP
! **Calculated total energy**: -5.58 eV per atom
! **ΔE_f**: 0.378 eV/atom
! **Space-group type**: F-43m
! **Spin magnetization**: 1.497 Bohr magnetons per cell
&SYSTEM
  ibrav = 0, nat = 6, ntyp = 3
/
ATOMIC_SPECIES
Hg 200.59 Hg.upf
Pt 195.08 Pt.upf
Rh 102.91 Rh.upf
CELL_PARAMETERS angstrom
2.727 -3.465 2.684
1.882 1.234 4.645
-2.009 -2.135 4.249
ATOMIC_POSITIONS angstrom
Hg 0.650 -1.091 2.894
Pt 0.000 0.000 0.000
Rh 2.632 -1.660 5.111
Rh 0.683 -3.348 4.912
Rh 1.625 -2.729 7.239
Rh 0.259 -0.994 5.894

***

# 4
! Hg2RuPtRh GGA-PBE relaxed; values from VASP
! **Calculated total energy**: -3.24 eV per atom
! **ΔE_f**: 1.417 eV/atom
! **Space-group type**: P4/mmm
! **Spin magnetization**: 3.647 Bohr magnetons per cell
&SYSTEM
  ibrav = 0, nat = 5, ntyp = 4
/
ATOMIC_SPECIES
Ru 101.07 Ru.upf
Rh 102.91 Rh.upf
Hg 200.59 Hg.upf
Pt 195.08 Pt.upf
CELL_PARAMETERS angstrom
5.092 0.000 0.000
0.000 4.888 0.000
0.000 0.000 5.092
ATOMIC_POSITIONS angstrom
Ru 2.546 2.444 2.546
Rh 0.000 2.444 0.000
Hg 0.000 0.000 2.546
Hg 2.546 0.000 0.000
Pt 0.000 0.000 0.000

***

# 5
! Sc5Hg2Pt2Rh GGA-PBE relaxed; values from VASP
! **Calculated total energy**: -5.93 eV per atom
! **ΔE_f**: -0.764 eV/atom
! **Space-group type**: P4/mbm
! **Spin magnetization**: 0.000 Bohr magnetons per cell
&SYSTEM
  ibrav = 0, nat = 20, ntyp = 4
/
ATOMIC_SPECIES
Sc 44.96 Sc.upf
Hg 200.59 Hg.upf
Pt 195.08 Pt.upf
Rh 102.91 Rh.upf
CELL_PARAMETERS angstrom
-0.902 -0.660 -3.150
-9.850 -3.671 3.588
-4.169 10.251 -0.956
ATOMIC_POSITIONS angstrom
Sc -2.615 -0.170 -0.989
Sc -12.306 6.090 0.471
Sc -4.655 7.723 -2.061
Sc -8.941 1.441 0.483
Sc -10.266 -1.804 1.542
Sc -5.979 4.478 -1.001
Sc -9.038 4.556 -0.142
Sc -5.882 1.363 -0.376
Sc -5.376 -2.166 0.219
Sc -2.535 4.795 -2.053
Hg -7.276 -0.732 2.236
Hg -6.743 7.312 0.397
Hg -3.037 2.791 0.284
Hg -10.982 3.789 2.348
Pt -3.982 6.016 -0.122
Pt -10.037 0.564 2.754
Pt -9.863 6.531 1.453
Pt -4.156 0.049 1.179
Rh 0.000 0.000 0.000
Rh -7.009 3.290 1.316

***

# 6
! Hg2PtRh2Se6 GGA-PBE relaxed; values from VASP
! **Calculated total energy**: -4.15 eV per atom
! **Space-group type**: C2/m
! **Spin magnetization**: 0.000 Bohr magnetons per cell
&SYSTEM
  ibrav = 0, nat = 11, ntyp = 4
/
ATOMIC_SPECIES
Hg 200.59 Hg.upf
Pt 195.08 Pt.upf
Rh 102.91 Rh.upf
Se 78.96 Se.upf
CELL_PARAMETERS angstrom
-4.429 0.785 -4.692
-1.777 -2.423 5.764
0.793 7.150 1.993
ATOMIC_POSITIONS angstrom
Hg -3.988 0.251 -2.952
Hg -2.219 -1.889 4.023
Pt 0.396 3.575 0.996
Rh -2.262 2.217 3.289
Rh -3.152 3.295 -0.224
Se -3.995 3.673 2.140
Se -0.436 3.955 3.392
Se -1.419 1.839 0.924
Se -1.341 5.050 -0.178
Se -4.978 1.557 -0.328
Se -4.073 0.462 3.243

***

# 7
! Sm5Hg2PtRh2 GGA-PBE relaxed; values from VASP
! **Calculated total energy**: -5.15 eV per atom
! **ΔE_f**: -0.652 eV/atom
! **Space-group type**: P4/mbm
! **Spin magnetization**: 0.000 Bohr magnetons per cell
&SYSTEM
  ibrav = 0, nat = 20, ntyp = 4
/
ATOMIC_SPECIES
Sm 150.36 Sm.upf
Hg 200.59 Hg.upf
Pt 195.08 Pt.upf
Rh 102.91 Rh.upf
CELL_PARAMETERS angstrom
-2.045 -0.472 -3.050
9.516 -3.422 -5.852
-2.073 -11.071 3.103
ATOMIC_POSITIONS angstrom
Sm 0.646 -1.808 -2.401
Sm 4.751 -13.157 -3.398
Sm -1.912 -9.449 0.497
Sm 4.708 -7.233 -4.286
Sm 7.309 -5.516 -6.296
Sm 0.689 -7.732 -1.513
Sm 3.081 -9.904 -2.781
Sm 2.316 -5.062 -3.018
Sm 3.735 -1.947 -4.451
Sm -2.059 -5.772 0.027
Hg 6.038 -4.205 -3.399
Hg 1.404 -10.289 0.650
Hg 0.957 -4.220 0.011
Hg 6.485 -10.274 -2.760
Pt 0.000 0.000 0.000
Pt 3.721 -7.247 -1.374
Rh -0.045 -7.466 1.186
Rh 7.488 -7.028 -3.935
Rh 4.228 -11.764 -1.015
Rh 3.215 -2.730 -1.734

***

# 8
! TbHgPtRh GGA-PBE relaxed; values from VASP
! **Calculated total energy**: -5.18 eV per atom
! **ΔE_f**: -0.597 eV/atom
! **Space-group type**: F-43m
! **Spin magnetization**: 0.000 Bohr magnetons per cell
&SYSTEM
  ibrav = 0, nat = 4, ntyp = 4
/
ATOMIC_SPECIES
Rh 102.91 Rh.upf
Tb 158.93 Tb.upf
Hg 200.59 Hg.upf
Pt 195.08 Pt.upf
CELL_PARAMETERS angstrom
4.762 0.000 0.000
2.381 4.124 0.000
2.381 1.375 3.888
ATOMIC_POSITIONS angstrom
Rh 7.142 4.124 2.916
Tb 0.000 0.000 0.000
Hg 4.762 2.749 1.944
Pt 2.381 1.375 0.972

***

Which formula does entry 3 have? HgPtRh4